{
  "formula": "TiFePtO2",
  "functional": "PBE+U",
  "state": "optimized geometry",
  "final_energy_ev_per_atom": -6.06,
  "cell": [[3.633, 0.000, 0.000], [0.000, 5.793, 0.000], [0.000, 0.000, 3.633]],
  "species": ["O", "O", "Ti", "Fe", "Pt"],
  "fractional_positions": [[0.000, 0.000, 0.500], [0.500, 0.000, 0.000], [0.000, 0.500, 0.000], [0.000, 0.000, 0.000], [0.500, 0.500, 0.500]]
}